# 1
VASP calculation (PBE) on a relaxed structure of InPAu2.

The structure in POSCAR format:
```
InPAu2
1.0
3.157 0.000 0.000
0.000 3.157 0.000
0.000 0.000 7.626
In P Au
1 1 2
Cartesian
0.000 0.000 0.000
0.000 0.000 3.813
1.579 1.579 2.131
1.579 1.579 5.495
```

Calculated values
ΔH_f (0 K): 0.24 eV/atom
distance to the lowest polymorph of the same formula: 286 meV per atom
spin magnetization: 0.00 μB/f.u.

---

# 2
VASP calculation (PBE) on a relaxed structure of AcPmNdDy3.

The structure in POSCAR format:
```
AcPmNdDy3
1.0
10.194 -2.862 0.000
10.194 2.862 0.000
-0.029 0.000 7.269
Ac Pm Nd Dy
2 2 2 6
Cartesian
2.971 0.000 0.260
17.388 0.000 7.008
9.048 0.000 5.227
11.311 0.000 2.042
3.014 0.000 3.449
17.345 0.000 3.820
0.404 0.000 5.328
5.695 0.000 5.411
6.820 0.000 1.911
13.538 0.000 5.358
14.664 0.000 1.858
19.954 0.000 1.941
```

Calculated values
ΔH_f (0 K): 0.23 eV/atom
spin magnetization: 0.00 μB/f.u.

---

# 3
VASP calculation (PBE) on a relaxed structure of LiTc2Br.

The structure in POSCAR format:
```
LiTc2Br
1.0
-4.033 4.033 2.218
4.033 -4.033 2.218
4.033 4.033 -2.218
Li Tc Br
2 4 2
Cartesian
0.000 0.000 0.000
0.000 4.033 1.109
2.016 -1.482 1.663
2.551 2.016 0.554
2.016 5.515 -0.554
1.482 2.016 2.772
4.033 0.000 1.109
0.000 0.000 2.218
```

Calculated values
distance to the lowest polymorph of the same formula: 854 meV per atom
formation energy (no corrections): 3.56 eV/f.u.
spin magnetization: 0.00 μB/f.u.

---

# 4
VASP calculation (PBE) on a relaxed structure of TeAuN2Cl.

The structure in POSCAR format:
```
TeAuN2Cl
1.0
4.120 0.000 0.000
0.000 4.120 0.000
0.000 0.000 6.319
Te Au N Cl
1 1 2 1
Cartesian
0.000 0.000 0.000
0.000 0.000 3.160
0.000 2.060 3.160
2.060 0.000 3.160
2.060 2.060 0.000
```

Calculated values
distance to the lowest polymorph of the same formula: 0 meV per atom
formation energy (no corrections): 7.93 eV/f.u.
spin magnetization: 3.96 μB/f.u.

---

# 5
VASP calculation (PBE) on a relaxed structure of Fe2Au.

The structure in POSCAR format:
```
Fe2Au
1.0
0.000 3.476 3.476
3.476 0.000 3.476
3.476 3.476 0.000
Fe Au
4 2
Cartesian
0.000 0.000 0.000
1.738 1.738 0.000
1.738 0.000 1.738
0.000 1.738 1.738
2.607 2.607 2.607
4.345 4.345 4.345
```

Calculated values
ΔH_f (0 K): 0.15 eV/atom
spin magnetization: 5.49 μB/f.u.

---

# 6
VASP calculation (PBE) on a relaxed structure of LaTcN2O.

The structure in POSCAR format:
```
LaTcN2O
1.0
3.928 0.000 0.000
0.000 3.928 0.000
0.000 0.000 4.060
La Tc N O
1 1 2 1
Cartesian
0.000 0.000 0.000
1.964 1.964 2.030
0.000 1.964 2.030
1.964 0.000 2.030
1.964 1.964 0.000
```

Calculated values
formation energy (no corrections): -5.79 eV/f.u.
spin magnetization: 0.00 μB/f.u.

---

# 7
VASP calculation (PBE) on a relaxed structure of HfNbCuIr.

The structure in POSCAR format:
```
HfNbCuIr
1.0
0.000 3.223 3.223
3.223 0.000 3.223
3.223 3.223 0.000
Hf Nb Cu Ir
1 1 1 1
Cartesian
0.000 0.000 0.000
3.223 3.223 3.223
4.835 4.835 4.835
1.612 1.612 1.612
```

Calculated values
ΔH_f (0 K): -0.30 eV/atom
spin magnetization: 0.00 μB/f.u.

---

# 8
VASP calculation (PBE) on a relaxed structure of Mg2In4Sn.

The structure in POSCAR format:
```
Mg2In4Sn
1.0
0.000 7.295 7.295
7.295 0.000 7.295
7.295 7.295 0.000
Mg In Sn
8 16 4
Cartesian
11.550 6.688 6.688
3.041 3.041 3.041
7.902 7.902 3.041
7.902 3.041 7.902
6.688 11.550 6.688
6.688 6.688 11.550
11.550 11.550 11.550
3.041 7.902 7.902
0.000 0.000 0.000
3.648 3.648 0.000
3.648 0.000 3.648
5.472 5.472 2.120
5.472 2.120 5.472
8.823 5.472 5.472
9.119 9.119 5.768
9.119 5.768 9.119
12.471 9.119 9.119
0.000 3.648 3.648
2.120 5.472 5.472
5.472 8.823 5.472
5.472 5.472 8.823
5.768 9.119 9.119
9.119 12.471 9.119
9.119 9.119 12.471
7.295 3.648 3.648
3.648 7.295 3.648
3.648 3.648 7.295
7.295 7.295 7.295
```

Calculated values
ΔH_f (0 K): 0.06 eV/atom
distance to the lowest polymorph of the same formula: 0 meV per atom
spin magnetization: 0.00 μB/f.u.